A plane-wave DFT calculation with PBE was carried out for a relaxed GdErTeO2 crystal.

Its polymorph energy (0 for the lowest one) is 1.90 kcal/mol of atoms. For the total magnetization, the calculation gives 0.000 μB/cell. As for the crystal system: trigonal. Its total energy is -36.68 eV for the cell shown.

The structure belongs to space group P3m1 (No. 156); the cell edges are 3.8901, 3.8901 and 7.1804 Å and the angles 90.00°, 90.00° and 120.00°. The inequivalent atoms are Gd at (0.0000, 0.0000, 0.0000), Er at (0.3333, 0.6667, 0.6088), Te at (0.6667, 0.3333, 0.3078), O at (0.0000, 0.0000, 0.6798) and O at (0.3333, 0.6667, 0.9206).